#one
## GaBiSb2I (PBE)

Data for GaBiSb2I after structural relaxation.

Geometry as CIF:
```
data_GaBiSb2I
_chemical_formula_sum 'Ga1 Bi1 Sb2 I1'
_cell_length_a 5.4444
_cell_length_b 5.4444
_cell_length_c 5.3784
_cell_angle_alpha 90.00
_cell_angle_beta 90.00
_cell_angle_gamma 90.00
_symmetry_space_group_name_H-M 'P 4/m m m'
_symmetry_Int_Tables_number 123
_symmetry_space_group_name_Hall '-P 4 2'
loop_
_atom_site_label
_atom_site_type_symbol
_atom_site_fract_x
_atom_site_fract_y
_atom_site_fract_z
Ga1 Ga 0.0000 0.0000 0.0000
Bi1 Bi 0.5000 0.5000 0.5000
Sb1 Sb 0.0000 0.5000 0.0000
I1 I 0.0000 0.0000 0.5000
```

* DOS(E_F): 4.9 states/eV/cell
* V: 31.9 A^3/atom

#two
## GaBiSb2I (PBE)

Data for GaBiSb2I after structural relaxation.

Geometry as CIF:
```
data_GaBiSb2I
_chemical_formula_sum 'Ga1 Bi1 Sb2 I1'
_cell_length_a 5.8187
_cell_length_b 5.8187
_cell_length_c 5.6230
_cell_angle_alpha 90.00
_cell_angle_beta 90.00
_cell_angle_gamma 90.00
_symmetry_space_group_name_H-M 'P 4/m m m'
_symmetry_Int_Tables_number 123
_symmetry_space_group_name_Hall '-P 4 2'
loop_
_atom_site_label
_atom_site_type_symbol
_atom_site_fract_x
_atom_site_fract_y
_atom_site_fract_z
Ga1 Ga 0.0000 0.0000 0.0000
Bi1 Bi 0.5000 0.5000 0.0000
Sb1 Sb 0.0000 0.5000 0.5000
I1 I 0.0000 0.0000 0.5000
```

* DOS(E_F): 3.0 states/eV/cell
* V: 38.1 A^3/atom

Verdict on stability: #two comes out at the bottom.

#one
## GaBiTe2I (PBE)

Data for GaBiTe2I after structural relaxation.

Geometry as CIF:
```
data_GaBiTe2I
_chemical_formula_sum 'Ga1 Bi1 Te2 I1'
_cell_length_a 5.9477
_cell_length_b 5.9477
_cell_length_c 6.2129
_cell_angle_alpha 90.00
_cell_angle_beta 90.00
_cell_angle_gamma 90.00
_symmetry_space_group_name_H-M 'P 4/m m m'
_symmetry_Int_Tables_number 123
_symmetry_space_group_name_Hall '-P 4 2'
loop_
_atom_site_label
_atom_site_type_symbol
_atom_site_fract_x
_atom_site_fract_y
_atom_site_fract_z
Ga1 Ga 0.0000 0.0000 0.0000
Bi1 Bi 0.5000 0.5000 0.5000
Te1 Te 0.0000 0.5000 0.5000
I1 I 0.5000 0.5000 0.0000
```

* DOS(E_F): 5.8 states/eV/cell
* V: 44.0 A^3/atom

#two
## GaBiTe2I (PBE)

Data for GaBiTe2I after structural relaxation.

Geometry as CIF:
```
data_GaBiTe2I
_chemical_formula_sum 'Ga1 Bi1 Te2 I1'
_cell_length_a 5.4647
_cell_length_b 5.4647
_cell_length_c 5.4308
_cell_angle_alpha 90.00
_cell_angle_beta 90.00
_cell_angle_gamma 90.00
_symmetry_space_group_name_H-M 'P 4/m m m'
_symmetry_Int_Tables_number 123
_symmetry_space_group_name_Hall '-P 4 2'
loop_
_atom_site_label
_atom_site_type_symbol
_atom_site_fract_x
_atom_site_fract_y
_atom_site_fract_z
Ga1 Ga 0.0000 0.0000 0.0000
Bi1 Bi 0.5000 0.5000 0.5000
Te1 Te 0.0000 0.5000 0.0000
I1 I 0.0000 0.0000 0.5000
```

* DOS(E_F): 3.2 states/eV/cell
* V: 32.4 A^3/atom

Verdict on stability: #one comes out at the bottom.

#one
## InGaBi (PBE)

Data for InGaBi after structural relaxation.

Geometry as CIF:
```
data_InGaBi
_chemical_formula_sum 'In2 Ga2 Bi2'
_cell_length_a 6.0158
_cell_length_b 3.2953
_cell_length_c 8.5830
_cell_angle_alpha 90.00
_cell_angle_beta 106.32
_cell_angle_gamma 90.00
_symmetry_space_group_name_H-M 'P 1 2/m 1'
_symmetry_Int_Tables_number 10
loop_
_symmetry_equiv_pos_as_xyz
'x,y,z'
'-x,-y,-z'
'-x,y,-z'
'x,-y,z'
loop_
_atom_site_label
_atom_site_type_symbol
_atom_site_fract_x
_atom_site_fract_y
_atom_site_fract_z
In1 In 0.1719 0.0000 0.1946
Ga1 Ga 0.2767 0.5000 0.9127
Bi1 Bi 0.2847 0.0000 0.6009
```

* DOS(E_F): 2.5 states/eV/cell
* V: 27.2 A^3/atom

#two
## InGaBi (PBE)

Data for InGaBi after structural relaxation.

Geometry as CIF:
```
data_InGaBi
_chemical_formula_sum 'In1 Ga1 Bi1'
_cell_length_a 3.1803
_cell_length_b 3.2725
_cell_length_c 8.4821
_cell_angle_alpha 98.91
_cell_angle_beta 100.67
_cell_angle_gamma 90.09
_symmetry_space_group_name_H-M 'P 1'
_symmetry_Int_Tables_number 1
loop_
_symmetry_equiv_pos_as_xyz
'x,y,z'
loop_
_atom_site_label
_atom_site_type_symbol
_atom_site_fract_x
_atom_site_fract_y
_atom_site_fract_z
In1 In 0.0000 0.0000 0.0000
Ga1 Ga 0.6254 0.5990 0.2535
Bi1 Bi 0.8218 0.8053 0.6142
```

* DOS(E_F): 1.2 states/eV/cell
* V: 28.6 A^3/atom

Verdict on stability: #two comes out at the bottom.